A plane-wave DFT calculation with PBE was carried out for an optimized crystal structure of PrSm2Ho2Er.

Results
The calculated formation energy comes out at 0.267 eV per atom. Its space-group type is No. 58. Its total DFT energy (no corrections) is -4.389 eV per atom.

abc: 6.5311 18.0566 3.4213
angles: 90.00 90.00 90.00
Fractional coordinates of all 12 atoms:
Pr 0.0000 0.0000 0.0000
Pr 0.5000 0.5000 0.5000
Sm 0.2180 0.1886 0.0000
Sm 0.2820 0.6886 0.5000
Sm 0.7180 0.3114 0.5000
Sm 0.7820 0.8114 0.0000
Ho 0.2145 0.3540 0.5000
Ho 0.2855 0.8540 0.0000
Ho 0.7145 0.1460 0.0000
Ho 0.7855 0.6460 0.5000
Er 0.0000 0.5000 0.0000
Er 0.5000 0.0000 0.5000